Entry 1:
Density functional theory data (PBE) for crystalline Ca6AlAg2 at its relaxed geometry.

Computed properties:
* calculated volume: 31.053 Å³/atom
* energy: -2.5777 eV/atom
* DFT formation energy: -194 meV per atom

Cell: 10.370 8.410 7.127 Å, 83.30 53.65 43.05°
Element x y z (fractional)
Ca  0.033  0.303  0.697
Ca  0.303  0.033  0.967
Ca  0.361  0.639  0.361
Ca  0.639  0.361  0.639
Ca  0.697  0.967  0.033
Ca  0.967  0.697  0.303
Al  0.000  0.000  0.000
Ag  0.340  0.340  0.660
Ag  0.660  0.660  0.340

=====

Entry 2:
Density functional theory data (PBE) for crystalline Ca3Al3Ag at its relaxed geometry.

Computed properties:
* calculated volume: 25.988 Å³/atom
* energy: -3.1162 eV/atom
* DFT formation energy: -247 meV per atom

Cell: 6.018 6.018 15.128 Å, 108.92 108.92 45.18°
Element x y z (fractional)
Ca  0.028  0.028  0.380
Ca  0.106  0.106  0.923
Ca  0.249  0.249  0.229
Ca  0.751  0.751  0.771
Ca  0.894  0.894  0.077
Ca  0.972  0.972  0.620
Al  0.367  0.367  0.461
Al  0.399  0.399  0.922
Al  0.454  0.454  0.765
Al  0.546  0.546  0.235
Al  0.601  0.601  0.078
Al  0.633  0.633  0.539
Ag  0.255  0.255  0.600
Ag  0.745  0.745  0.400

=====

Number 1 is which compound? Ca6AlAg2

=====

Copy entry 1 word for word.
Density functional theory data (PBE) for crystalline Ca6AlAg2 at its relaxed geometry.

Computed properties:
* calculated volume: 31.053 Å³/atom
* energy: -2.5777 eV/atom
* DFT formation energy: -194 meV per atom

Cell: 10.370 8.410 7.127 Å, 83.30 53.65 43.05°
Element x y z (fractional)
Ca  0.033  0.303  0.697
Ca  0.303  0.033  0.967
Ca  0.361  0.639  0.361
Ca  0.639  0.361  0.639
Ca  0.697  0.967  0.033
Ca  0.967  0.697  0.303
Al  0.000  0.000  0.000
Ag  0.340  0.340  0.660
Ag  0.660  0.660  0.340